[1]
Here is a relaxed structure of Sr2UN2O2 from Alexandria via LeMat-Bulk. Energies are from GGA-PBE.

POSCAR file:
```
Sr2UN2O2
1.0
4.265 0.000 0.000
0.000 4.265 0.000
0.000 0.000 13.018
Sr U N O
4 2 4 4
Direct
0.000 0.000 0.146
0.000 0.000 0.854
0.500 0.500 0.354
0.500 0.500 0.646
0.000 0.000 0.500
0.500 0.500 0.000
0.000 0.500 0.000
0.000 0.500 0.500
0.500 0.000 0.000
0.500 0.000 0.500
0.000 0.000 0.332
0.000 0.000 0.668
0.500 0.500 0.168
0.500 0.500 0.832
```

The total energy comes out at -8.014 eV/atom. The value obtained for the total magnetic moment is 0.00 μB/f.u. For the raw formation energy, the calculation gives -2.13 eV/atom.

---

[2]
Here is a relaxed structure of SrUNO2 from Alexandria via LeMat-Bulk. Energies are from GGA-PBE.

POSCAR file:
```
SrUNO2
1.0
-3.025 3.025 4.298
3.025 -3.025 4.298
3.025 3.025 -4.298
Sr U N O
2 2 2 4
Direct
0.250 0.750 0.500
0.750 0.250 0.500
0.000 0.000 0.000
0.500 0.500 0.000
0.250 0.250 0.000
0.750 0.750 0.000
0.178 0.678 0.856
0.322 0.178 0.500
0.678 0.822 0.500
0.822 0.322 0.144
```

The total energy comes out at -8.791 eV/atom. The value obtained for the total magnetic moment is 1.00 μB/f.u. For the raw formation energy, the calculation gives -2.55 eV/atom. As for the density of states at the Fermi level: 0.98 states/eV/f.u.